Computed, not measured: PuThMn2 after structural relaxation at the PBE level of DFT.

a = 3.410 Å, b = 3.410 Å, c = 7.027 Å
α = 90.00°, β = 90.00°, γ = 90.00°
Element x y z (fractional)
Pu1 0.500 0.500 0.000
Mn1 0.000 0.000 0.200
Mn2 0.000 0.000 0.800
Th1 0.500 0.500 0.500

As for the raw total energy: -39.574 eV/cell. The density of states at the Fermi level is 6.614 states/eV per cell. Its energy of formation from the pure elements is 50 kJ/mol of formula units. The space group is P4/mmm (123). The crystal system is tetragonal.

***

Computed, not measured: Pu3ThMn3 after structural relaxation at the PBE level of DFT.

a = 6.766 Å, b = 6.766 Å, c = 6.766 Å
α = 90.00°, β = 90.00°, γ = 90.00°
Element x y z (fractional)
Mn1 0.750 0.000 0.500
Pu1 0.000 0.250 0.500
Mn2 0.000 0.500 0.750
Mn3 0.500 0.750 0.000
Th1 0.000 0.000 0.000
Mn4 0.250 0.000 0.500
Pu2 0.250 0.500 0.000
Pu3 0.750 0.500 0.000
Mn5 0.000 0.500 0.250
Th2 0.500 0.500 0.500
Pu4 0.500 0.000 0.750
Pu5 0.500 0.000 0.250
Mn6 0.500 0.250 0.000
Pu6 0.000 0.750 0.500

As for the raw total energy: -147.039 eV/cell. The density of states at the Fermi level is 28.142 states/eV per cell. Its energy of formation from the pure elements is 425 kJ/mol of formula units. The space group is Pm-3n (223). The crystal system is cubic.

***

Computed, not measured: PuThMn after structural relaxation at the PBE level of DFT.

a = 3.644 Å, b = 3.644 Å, c = 5.698 Å
α = 108.65°, β = 108.65°, γ = 90.00°
Element x y z (fractional)
Pu1 0.020 0.020 0.039
Mn1 0.652 0.652 0.304
Th1 0.329 0.329 0.657

As for the raw total energy: -30.558 eV/cell. The density of states at the Fermi level is 6.351 states/eV per cell. Its energy above the lowest structure with this stoichiometry is 0.9 kJ per mole of atoms. Its energy of formation from the pure elements is 35 kJ/mol of formula units. The space group is I4mm (107). The crystal system is tetragonal.

***

Computed, not measured: PuTh2Mn2 after structural relaxation at the PBE level of DFT.

a = 5.722 Å, b = 5.722 Å, c = 7.650 Å
α = 82.39°, β = 82.39°, γ = 61.53°
Element x y z (fractional)
Pu1 0.876 0.124 0.750
Th1 0.238 0.458 0.652
Mn1 0.765 0.001 0.508
Th2 0.542 0.762 0.848
Mn2 0.999 0.235 0.992
Mn3 0.001 0.765 0.008
Th3 0.458 0.238 0.152
Th4 0.762 0.542 0.348
Pu2 0.124 0.876 0.250
Mn4 0.235 0.999 0.492

As for the raw total energy: -95.402 eV/cell. The density of states at the Fermi level is 12.986 states/eV per cell. Its energy of formation from the pure elements is -18 kJ/mol of formula units. The space group is C2/c (15). The crystal system is monoclinic.

***

What did we get for calculated volume? Answer: 20.43, 22.13, 22.49, 21.75 Å³ per atom, in the order shown.